Record 1
La4DyTe7 | PBE-GGA | relaxed

Results
Calculated volume (Å³ per atom): 35.83
VASP energy (eV for the cell shown): -64.840
Symmetry: No. 8
Raw formation energy (eV/atom): -1.5447
DOS(E_F) (states/eV/atom): 0.169

Unit cell a=4.426 b=7.761 c=13.511 alpha=104.25 beta=90.00 gamma=106.57
Positions (direct):
La: 0.699 0.398 0.806
La: 0.301 0.603 0.192
La: 0.000 0.999 0.997
La: 0.113 0.227 0.429
Dy: 0.885 0.769 0.575
Te: 0.743 0.486 0.356
Te: 0.269 0.537 0.650
Te: 0.337 0.675 0.949
Te: 0.661 0.323 0.050
Te: 0.035 0.071 0.776
Te: 0.963 0.926 0.216
Te: 0.493 0.986 0.503

Record 2
Li2Tb3Cd7 | PBE-GGA | relaxed

Results
Calculated volume (Å³ per atom): 24.42
VASP energy (eV for the cell shown): -25.948
Symmetry: No. 10
DFT formation energy (eV per atom): -0.1520
DOS(E_F) (states/eV/atom): 0.511

Unit cell a=5.168 b=5.005 c=11.461 alpha=98.66 beta=90.00 gamma=90.00
Positions (direct):
Li: 0.500 0.612 0.297
Li: 0.500 0.388 0.703
Tb: 0.500 0.500 0.000
Tb: 0.000 0.090 0.327
Tb: 0.000 0.910 0.673
Cd: 0.500 0.235 0.457
Cd: 0.500 0.765 0.543
Cd: 0.000 0.541 0.161
Cd: 0.000 0.000 0.000
Cd: 0.000 0.459 0.839
Cd: 0.500 0.939 0.830
Cd: 0.500 0.061 0.170

Record 3
Pm2PrAs3 | PBE-GGA | relaxed

Results
Calculated volume (Å³ per atom): 27.38
VASP energy (eV for the cell shown): -37.333
Symmetry: No. 71
DFT formation energy (eV per atom): -1.5172
DOS(E_F) (states/eV/atom): 0.142

Unit cell a=4.267 b=6.024 c=7.380 alpha=114.09 beta=106.80 gamma=90.00
Positions (direct):
Pm: 0.666 0.166 0.333
Pm: 0.334 0.834 0.667
Pr: 0.000 0.500 0.000
As: 0.331 0.331 0.662
As: 0.000 0.000 0.000
As: 0.669 0.669 0.338

Record 4
NdAu3 | PBE-GGA | relaxed

Results
Calculated volume (Å³ per atom): 21.97
VASP energy (eV for the cell shown): -34.376
Symmetry: No. 194
DFT formation energy (eV per atom): -0.6470
DOS(E_F) (states/eV/atom): 0.524

Unit cell a=6.468 b=6.468 c=4.851 alpha=90.00 beta=90.00 gamma=120.00
Positions (direct):
Nd: 0.667 0.333 0.250
Nd: 0.333 0.667 0.750
Au: 0.844 0.156 0.750
Au: 0.312 0.156 0.750
Au: 0.844 0.688 0.750
Au: 0.156 0.844 0.250
Au: 0.688 0.844 0.250
Au: 0.156 0.312 0.250